# 1
PBE Ga2IO2, optimized geometry; formation energy without anion corrections = -743 meV per atom; N(E_F) = 1.28 states/eV/cell; calculated density = 5.13 g cm⁻³
1.0
-0.460 -1.434 3.806
2.110 -3.359 -1.011
5.721 0.205 2.970
I O Ga
1 2 2
Cartesian
0.000 0.000 0.000
2.998 -1.242 2.096
4.373 -3.346 3.670
3.043 -1.813 4.087
4.328 -2.775 1.678

=====

# 2
PBE GaIO3, optimized geometry; formation energy without anion corrections = -715 meV per atom; N(E_F) = 1.83 states/eV/cell; calculated density = 5.01 g cm⁻³
1.0
3.318 0.000 0.000
-1.659 5.623 0.035
0.000 -1.413 8.675
Ga I O
2 2 6
Cartesian
1.659 0.321 7.028
0.000 3.889 1.682
1.659 3.025 5.921
0.000 1.186 2.789
0.000 3.068 3.454
1.659 1.143 5.256
1.659 2.114 7.682
0.000 2.097 1.028
0.000 -0.614 7.081
1.659 4.825 1.629

=====

# 3
PBE GaIO2, optimized geometry; formation energy without anion corrections = 494 meV per atom; N(E_F) = 3.90 states/eV/cell; calculated density = 6.65 g cm⁻³
1.0
-2.608 -3.102 -1.504
-4.236 0.137 0.850
-2.811 0.885 -3.162
I O Ga
1 2 1
Cartesian
-4.828 -1.040 -1.908
-2.414 -0.520 -0.954
-7.242 -1.560 -2.863
0.000 0.000 0.000

=====

# 4
PBE Ga2OsIO, optimized geometry; formation energy without anion corrections = 248 meV per atom; N(E_F) = 3.73 states/eV/cell; calculated density = 6.91 g cm⁻³
1.0
5.524 0.000 0.000
0.000 3.723 0.000
0.000 0.000 5.524
I Os O Ga
1 1 1 2
Cartesian
2.762 1.862 2.762
0.000 1.862 0.000
0.000 0.000 0.000
0.000 0.000 2.762
2.762 0.000 0.000

=====

# 5
PBE GaP2IO, optimized geometry; formation energy without anion corrections = 877 meV per atom; N(E_F) = 3.57 states/eV/cell; calculated density = 4.23 g cm⁻³
1.0
-1.466 -4.855 1.232
4.298 -0.560 2.907
-1.949 1.388 3.149
I P O Ga
1 2 1 1
Cartesian
0.000 0.000 0.000
2.149 -0.280 1.454
-0.733 -2.427 0.616
-0.975 0.694 1.574
0.441 -2.013 3.644

=====

# 6
PBE GaP2IO, optimized geometry; formation energy without anion corrections = 360 meV per atom; N(E_F) = 4.05 states/eV/cell; calculated density = 4.87 g cm⁻³
1.0
5.032 0.000 0.000
0.000 5.032 0.000
0.000 0.000 3.699
I P O Ga
1 2 1 1
Cartesian
2.516 2.516 1.849
0.000 2.516 0.000
2.516 0.000 0.000
0.000 0.000 1.849
0.000 0.000 0.000

=====

Computed energy (eV per formula unit) in order:
-21.23; -23.03; -12.52; -22.55; -15.97; -18.55